The following is a GGA-PBE calculation of crystalline CaI3Br at its relaxed geometry, from Alexandria.

Summary:
* formation energy (no corrections): -0.1505 eV per atom
* offset from the most stable computed form: 396.9 meV/atom
* space group: No. 221
* magnetic moment: 0.68 μB per cell
* energy: -9.078 eV per cell

Cell and atoms, written as CIF:
```
data_CaI3Br
_space_group_name_H-M_alt 'P 1'
_space_group_IT_number 1
_cell_length_a 6.027
_cell_length_b 6.027
_cell_length_c 6.027
_cell_angle_alpha 90.00
_cell_angle_beta 90.00
_cell_angle_gamma 90.00
loop_
_space_group_symop_operation_xyz
'x,y,z'
loop_
_atom_site_label
_atom_site_fract_x
_atom_site_fract_y
_atom_site_fract_z
Ca1 0.000 0.000 0.000
I1 0.000 0.500 0.500
I2 0.500 0.000 0.500
I3 0.500 0.500 0.000
Br1 0.500 0.500 0.500
```